# LaTlCl2 | the Alexandria database | PBE | optimized geometry
data_LaTlCl2
_chemical_formula_sum 'La1 Tl1 Cl2'
_cell_length_a 3.959
_cell_length_b 4.623
_cell_length_c 5.836
_cell_angle_alpha 90.00
_cell_angle_beta 90.00
_cell_angle_gamma 90.00
_space_group_name_H-M_alt 'P 1'
_space_group_IT_number 1
loop_
_space_group_symop_operation_xyz
'x,y,z'
loop_
_atom_site_label
_atom_site_type_symbol
_atom_site_fract_x
_atom_site_fract_y
_atom_site_fract_z
La1 La 0.000 0.000 0.000
Tl1 Tl 0.500 0.000 0.500
Cl1 Cl 0.000 0.500 0.500
Cl2 Cl 0.500 0.500 0.000
# Space-group type: Pmmm
# Uncorrected formation energy in kJ/mol of atoms: -122.4
# Final energy in eV per cell: -16.06
# N(E_F) in states/eV/cell: 1.00
# Theoretical density in g/cm3: 6.44